## CsTiMnFe2 (PBE)

Data for an optimized crystal structure of CsTiMnFe2.

Lattice parameters (Å, degrees): 4.6997 4.9828 4.6997 90.00 90.00 90.00
Closest atoms and distances in Å follow each position.
Element x y z (fractional)
Ti 0.0000 0.5000 0.0000  2 Cs 2.49
Fe 0.0000 0.0000 0.5000  2 Cs 2.35
Fe 0.5000 0.0000 0.0000  2 Cs 2.35
Cs 0.0000 0.0000 0.0000  4 Fe 2.35, 2 Ti 2.49
Mn 0.5000 0.5000 0.5000  4 Ti 3.32, 8 Fe 3.42

Volume (Å³/cell): 110.1
DFT formation energy (eV/atom): 2.454
Space group: No. 123
Calculated total energy (eV for the cell shown): -22.57

## CoSnSb (PBE)

Data for an optimized crystal structure of CoSnSb.

Lattice parameters (Å, degrees): 4.9423 5.1456 5.1142 96.77 90.00 90.00
Closest atoms and distances in Å follow each position.
Element x y z (fractional)
Sb 0.5000 0.4452 0.2828  2 Co 2.58
Sn 0.5000 0.0135 0.8349  2 Co 2.51
Sn 0.0000 0.0339 0.2921  4 Co 2.56-2.67
Co 0.0000 0.5557 0.3853  4 Sb 2.55-2.65, 2 Sn 2.56-2.67, 1 Co 2.65
Co 0.0000 0.9451 0.7747  4 Sn 2.51-2.63, 2 Sb 2.57-2.66, 1 Co 2.65
Sb 0.0000 0.4640 0.8644  4 Co 2.55-2.66

Volume (Å³/cell): 129.2
E_form (uncorrected) (eV/atom): 0.09
Space group: No. 6
Calculated total energy (eV for the cell shown): -29.94

## SmYB12 (PBE)

Data for an optimized crystal structure of SmYB12.

Lattice parameters (Å, degrees): 4.1102 4.1102 8.2228 90.00 90.00 90.00
Closest atoms and distances in Å follow each position.
Element x y z (fractional)
B 0.8008 0.5000 0.7492  5 B 1.64-1.75
B 0.1992 0.5000 0.2508  5 B 1.64-1.75
B 0.5000 0.8008 0.2508  5 B 1.64-1.75
B 0.5000 0.8008 0.7492  5 B 1.64-1.75
B 0.5000 0.1992 0.7492  5 B 1.64-1.75
B 0.5000 0.1992 0.2508  5 B 1.64-1.75
B 0.5000 0.5000 0.0998  5 B 1.64-1.75
Sm 0.0000 0.0000 0.0000  24 B 3.02
Y 0.0000 0.0000 0.5000  24 B 3.02
B 0.5000 0.5000 0.9002  5 B 1.64-1.75
B 0.5000 0.5000 0.5992  5 B 1.63-1.75
B 0.1992 0.5000 0.7492  5 B 1.64-1.75
B 0.8008 0.5000 0.2508  5 B 1.64-1.75
B 0.5000 0.5000 0.4008  5 B 1.63-1.75

Volume (Å³/cell): 138.9
DFT formation energy (eV/atom): -0.427
Space group: No. 123
Calculated total energy (eV for the cell shown): -97.29

## Be2TlFe (PBE)

Data for an optimized crystal structure of Be2TlFe.

Lattice parameters (Å, degrees): 4.2606 4.2606 4.4846 78.29 78.29 42.43
Closest atoms and distances in Å follow each position.
Element x y z (fractional)
Be 0.0398 0.0398 0.8636  2 Be 2.02, 2 Fe 2.25
Fe 0.7500 0.7500 0.7500  6 Be 2.25-2.46
Be 0.4602 0.4602 0.6364  2 Be 2.02, 2 Fe 2.25
Tl 0.2500 0.2500 0.2500  4 Be 2.66-2.89, 4 Fe 2.72

Volume (Å³/cell): 53.6
DFT formation energy (eV/atom): 0.433
E above lowest polymorph (meV/atom): 81
Space group: No. 12
Calculated total energy (eV for the cell shown): -16.55

## Hf7Sn2Bi (PBE)

Data for an optimized crystal structure of Hf7Sn2Bi.

Lattice parameters (Å, degrees): 4.9931 8.1340 8.1340 120.81 90.00 90.00
Closest atoms and distances in Å follow each position.
Element x y z (fractional)
Hf 0.5000 0.7110 0.9360  2 Hf 2.84-3.05, 2 Sn 2.87-3.02
Hf 0.0000 0.2111 0.7890  2 Sn 2.80, 1 Bi 2.99
Hf 0.5000 0.0640 0.2890  2 Hf 2.84-3.05, 2 Sn 2.87-3.02
Hf 0.5000 0.5000 0.5000  2 Sn 2.81, 4 Hf 3.05
Hf 0.0000 0.7889 0.2110  2 Sn 2.80, 1 Bi 2.99
Hf 0.5000 0.9360 0.7110  2 Hf 2.84-3.05, 2 Sn 2.87-3.02
Sn 0.5000 0.6987 0.3013  7 Hf 2.80-3.02
Sn 0.5000 0.3013 0.6987  7 Hf 2.80-3.02
Bi 0.0000 0.0000 0.0000  10 Hf 2.99-3.28
Hf 0.5000 0.2890 0.0640  2 Hf 2.84-3.05, 2 Sn 2.87-3.02

Volume (Å³/cell): 283.7
DFT formation energy (eV/atom): 0.597
Space group: No. 65
Calculated total energy (eV for the cell shown): -75.59

## Ac4Nd11Y9 (PBE)

Data for an optimized crystal structure of Ac4Nd11Y9.

Lattice parameters (Å, degrees): 3.7233 16.0377 16.0377 115.64 90.00 90.00
Closest atoms and distances in Å follow each position.
Element x y z (fractional)
Nd 0.0000 0.6247 0.3753  4 Ac 3.63, 6 Y 3.67-3.86, 2 Nd 3.72
Ac 0.5000 0.5855 0.7589  6 Nd 3.63-3.79, 2 Ac 3.72, 3 Y 3.77-3.80
Nd 0.0000 0.4046 0.0310  4 Nd 3.61-3.72, 6 Y 3.65-3.68, 2 Ac 3.79
Y 0.5000 0.5000 0.5000  2 Y 3.72, 4 Ac 3.77, 4 Nd 3.86
Y 0.5000 0.7992 0.9891  8 Nd 3.59-3.66, 3 Y 3.62-3.72, 1 Ac 3.80
Y 0.5000 0.9891 0.7992  8 Nd 3.59-3.66, 3 Y 3.62-3.72, 1 Ac 3.80
Nd 0.0000 0.1878 0.8122  8 Y 3.60-3.62, 4 Nd 3.72
Y 0.5000 0.3855 0.8258  8 Nd 3.60-3.68, 3 Y 3.61-3.72, 1 Ac 3.80
Nd 0.0000 0.8122 0.1878  8 Y 3.60-3.62, 4 Nd 3.72
Nd 0.0000 0.0000 0.0000  4 Nd 3.47-3.72, 8 Y 3.66
Ac 0.5000 0.7589 0.5855  6 Nd 3.63-3.79, 2 Ac 3.72, 3 Y 3.77-3.80
Nd 0.0000 0.3753 0.6247  4 Ac 3.63, 6 Y 3.67-3.86, 2 Nd 3.72
Nd 0.0000 0.0310 0.4046  4 Nd 3.61-3.72, 6 Y 3.65-3.68, 2 Ac 3.79
Y 0.5000 0.0109 0.2008  8 Nd 3.59-3.66, 3 Y 3.62-3.72, 1 Ac 3.80
Nd 0.0000 0.2030 0.2030  3 Nd 3.47-3.72, 4 Y 3.59, 4 Ac 3.68
Ac 0.5000 0.2411 0.4145  6 Nd 3.63-3.79, 2 Ac 3.72, 3 Y 3.77-3.80
Nd 0.0000 0.5954 0.9690  4 Nd 3.61-3.72, 6 Y 3.65-3.68, 2 Ac 3.79
Nd 0.0000 0.9690 0.5954  4 Nd 3.61-3.72, 6 Y 3.65-3.68, 2 Ac 3.79
Y 0.5000 0.1742 0.6145  8 Nd 3.60-3.68, 3 Y 3.61-3.72, 1 Ac 3.80
Y 0.5000 0.6145 0.1742  8 Nd 3.60-3.68, 3 Y 3.61-3.72, 1 Ac 3.80
Y 0.5000 0.8258 0.3855  8 Nd 3.60-3.68, 3 Y 3.61-3.72, 1 Ac 3.80
Nd 0.0000 0.7970 0.7970  3 Nd 3.47-3.72, 4 Y 3.59, 4 Ac 3.68
Ac 0.5000 0.4145 0.2411  6 Nd 3.63-3.79, 2 Ac 3.72, 3 Y 3.77-3.80
Y 0.5000 0.2008 0.0109  8 Nd 3.59-3.66, 3 Y 3.62-3.72, 1 Ac 3.80

Volume (Å³/cell): 863.3
DFT formation energy (eV/atom): 0.059
Space group: No. 65
Calculated total energy (eV for the cell shown): -125.64

calculated total energy of number 2 (CoSnSb)? -29.94 eV for the cell shown

The lowest calculated total energy belongs to which entry? Ac4Nd11Y9

Copy entry 3 word for word.
## SmYB12 (PBE)

Data for an optimized crystal structure of SmYB12.

Lattice parameters (Å, degrees): 4.1102 4.1102 8.2228 90.00 90.00 90.00
Closest atoms and distances in Å follow each position.
Element x y z (fractional)
B 0.8008 0.5000 0.7492  5 B 1.64-1.75
B 0.1992 0.5000 0.2508  5 B 1.64-1.75
B 0.5000 0.8008 0.2508  5 B 1.64-1.75
B 0.5000 0.8008 0.7492  5 B 1.64-1.75
B 0.5000 0.1992 0.7492  5 B 1.64-1.75
B 0.5000 0.1992 0.2508  5 B 1.64-1.75
B 0.5000 0.5000 0.0998  5 B 1.64-1.75
Sm 0.0000 0.0000 0.0000  24 B 3.02
Y 0.0000 0.0000 0.5000  24 B 3.02
B 0.5000 0.5000 0.9002  5 B 1.64-1.75
B 0.5000 0.5000 0.5992  5 B 1.63-1.75
B 0.1992 0.5000 0.7492  5 B 1.64-1.75
B 0.8008 0.5000 0.2508  5 B 1.64-1.75
B 0.5000 0.5000 0.4008  5 B 1.63-1.75

Volume (Å³/cell): 138.9
DFT formation energy (eV/atom): -0.427
Space group: No. 123
Calculated total energy (eV for the cell shown): -97.29

The lowest volume belongs to which entry? Be2TlFe